(1)
The following is a PBE calculation of crystalline Li2YGeBi at its relaxed geometry, from Alexandria via LeMat-Bulk.

Cell lengths 4.8927, 4.8927, 6.0253 Å; angles 90.00, 90.00, 90.00 degrees
Last column: nearest neighbours and their distance in Å.
Space group P4/mmm (No. 123)
Unique sites:
Li 0.0000 0.5000 0.0000  2 Bi 2.45
Y 0.0000 0.0000 0.5000  2 Bi 3.01
Ge 0.5000 0.5000 0.5000  4 Y 3.46
Bi 0.0000 0.0000 0.0000  4 Li 2.45

Raw total energy ... -18.8 eV/f.u.
Total magnetization ... 0.000 μB per cell
Energy relative to the lowest polymorph listed for this composition ... 0.055 eV/atom
E_form ... 0.001 eV/atom

---

(2)
The following is a PBE calculation of crystalline LuGeBi2 at its relaxed geometry, from Alexandria via LeMat-Bulk.

Cell lengths 3.6958, 3.6958, 31.2936 Å; angles 90.00, 90.00, 120.00 degrees
Last column: nearest neighbours and their distance in Å.
Space group R-3m (No. 166, hexagonal axes)
Unique sites:
Lu 0.0000 0.0000 0.0000  2 Bi 3.14
Ge 0.0000 0.0000 0.5000  6 Bi 2.98
Bi 0.0000 0.0000 0.1004  3 Ge 2.98, 1 Lu 3.14

Raw total energy ... -15.8 eV/f.u.
Total magnetization ... 0.000 μB per cell
E_form ... 0.275 eV/atom

---

(3)
The following is a PBE calculation of crystalline Lu2GeBi at its relaxed geometry, from Alexandria via LeMat-Bulk.

Cell lengths 4.0888, 4.0888, 22.2767 Å; angles 90.00, 90.00, 120.00 degrees
Last column: nearest neighbours and their distance in Å.
Space group R-3m (No. 166, hexagonal axes)
Unique sites:
Lu 0.0000 0.0000 0.2376  3 Ge 2.84, 3 Bi 3.18
Ge 0.0000 0.0000 0.5000  6 Lu 2.84
Bi 0.0000 0.0000 0.0000  6 Lu 3.18

Raw total energy ... -20.3 eV/f.u.
Total magnetization ... 0.000 μB per cell
E_form ... -0.679 eV/atom